1.
First-principles (SCAN) data for a PBEsol-optimized structure of NbVCu6Se8, as listed in Alexandria via LeMat-Bulk.

abc: 5.546 5.546 11.079
angles: 90.00 90.00 90.00
Space group P-42m (No. 111)
Inequivalent atoms, fractional coordinates:
Nb (0.000, 0.000, 0.000) x1
V (0.000, 0.000, 0.500) x1
Cu (0.000, 0.000, 0.252) x2
Cu (0.000, 0.500, 0.000) x2
Cu (0.000, 0.500, 0.500) x2
Se (0.245, 0.245, 0.622) x4
Se (0.255, 0.255, 0.128) x4

Calculated values
Energy relative to the elements, uncorrected: -0.55 eV/atom
Size of the total moment: 0.00 μB/f.u.
Energy: -0.7149 Ha/atom

=====

2.
First-principles (SCAN) data for a PBEsol-optimized structure of CaMn4O6, as listed in Alexandria via LeMat-Bulk.

abc: 3.079 10.007 15.155
angles: 90.00 90.00 90.00
Space group Cmcm (No. 63)
Inequivalent atoms, fractional coordinates:
Ca (0.000, 0.163, 0.250) x4
Mn (0.000, 0.091, 0.634) x8
Mn (0.000, 0.363, 0.542) x8
O (0.000, 0.000, 0.000) x4
O (0.000, 0.169, 0.750) x4
O (0.000, 0.280, 0.077) x8
O (0.000, 0.450, 0.654) x8

Calculated values
Energy relative to the elements, uncorrected: -2.29 eV/atom
Size of the total moment: 17.94 μB/f.u.
Fermi-level density of states: 0.2991 states/eV/atom
Energy: -0.4852 Ha/atom

=====

3.
First-principles (SCAN) data for a PBEsol-optimized structure of ZnWF6, as listed in Alexandria via LeMat-Bulk.

abc: 5.1010 5.1010 14.1398
angles: 90.00 90.00 120.00
Space group R-3 (No. 148, hexagonal axes)
Inequivalent atoms, fractional coordinates:
Zn (0.0000, 0.0000, 0.0000) x3
W (0.0000, 0.0000, 0.5000) x3
F (0.0069, 0.6341, 0.2496) x18

Calculated values
Energy relative to the elements, uncorrected: -2.45 eV/atom
Size of the total moment: 2.00 μB/f.u.
Energy: -0.5698 Ha/atom

=====

4.
First-principles (SCAN) data for a PBEsol-optimized structure of Mo3RhO, as listed in Alexandria via LeMat-Bulk.

abc: 4.039 4.039 4.039
angles: 90.00 90.00 90.00
Space group Pm-3m (No. 221)
Inequivalent atoms, fractional coordinates:
Mo (0.000, 0.000, 0.500) x3
Rh (0.500, 0.500, 0.500) x1
O (0.000, 0.000, 0.000) x1

Calculated values
Energy relative to the elements, uncorrected: -0.26 eV/atom
Size of the total moment: 0.00 μB/f.u.
Fermi-level density of states: 0.8554 states/eV/atom
Energy: -1.0729 Ha/atom

=====

5.
First-principles (SCAN) data for a PBEsol-optimized structure of Na2SiW, as listed in Alexandria via LeMat-Bulk.

abc: 8.113 8.113 4.969
angles: 90.00 90.00 90.00
Space group I-42d (No. 122)
Inequivalent atoms, fractional coordinates:
Na (0.223, 0.250, 0.125) x8
Si (0.000, 0.000, 0.000) x4
W (0.000, 0.000, 0.500) x4

Calculated values
Energy relative to the elements, uncorrected: 1.25 eV/atom
Size of the total moment: 2.02 μB/f.u.
Fermi-level density of states: 0.4520 states/eV/atom
Energy: -0.7638 Ha/atom

=====

6.
First-principles (SCAN) data for a PBEsol-optimized structure of Li5TiV3O8, as listed in Alexandria via LeMat-Bulk.

abc: 8.180 8.268 8.270
angles: 90.00 90.00 90.00
Space group P2_12_12_1 (No. 19)
Inequivalent atoms, fractional coordinates:
Li (0.104, 0.098, 0.101) x4
Li (0.109, 0.603, 0.604) x4
Li (0.110, 0.397, 0.400) x4
Li (0.110, 0.892, 0.892) x4
Li (0.241, 0.251, 0.242) x4
Ti (0.125, 0.878, 0.377) x4
V (0.101, 0.112, 0.610) x4
V (0.109, 0.389, 0.875) x4
V (0.113, 0.621, 0.109) x4
O (0.123, 0.378, 0.118) x4
O (0.125, 0.132, 0.864) x4
O (0.127, 0.366, 0.631) x4
O (0.130, 0.119, 0.368) x4
O (0.132, 0.630, 0.362) x4
O (0.133, 0.866, 0.128) x4
O (0.135, 0.870, 0.618) x4
O (0.140, 0.627, 0.869) x4

Calculated values
Energy relative to the elements, uncorrected: -2.50 eV/atom
Size of the total moment: 1.99 μB/f.u.
Energy: -0.3735 Ha/atom

=====

7.
First-principles (SCAN) data for a PBEsol-optimized structure of Al4InBr, as listed in Alexandria via LeMat-Bulk.

abc: 7.917 7.917 7.917
angles: 90.00 90.00 90.00
Space group F-43m (No. 216)
Inequivalent atoms, fractional coordinates:
Al (0.125, 0.125, 0.125) x16
In (0.000, 0.000, 0.500) x4
Br (0.250, 0.250, 0.750) x4

Calculated values
Energy relative to the elements, uncorrected: 0.24 eV/atom
Size of the total moment: 0.00 μB/f.u.
Fermi-level density of states: 0.4703 states/eV/atom
Energy: -0.5047 Ha/atom

=====

8.
First-principles (SCAN) data for a PBEsol-optimized structure of Li2TiFeO4, as listed in Alexandria via LeMat-Bulk.

abc: 4.001 4.001 8.483
angles: 90.00 90.00 90.00
Space group I-4m2 (No. 119)
Inequivalent atoms, fractional coordinates:
Li (0.000, 0.000, 0.000) x2
Li (0.000, 0.500, 0.250) x2
Ti (0.000, 0.000, 0.500) x2
Fe (0.000, 0.500, 0.750) x2
O (0.000, 0.000, 0.262) x4
O (0.000, 0.500, 0.004) x4

Calculated values
Energy relative to the elements, uncorrected: -2.45 eV/atom
Size of the total moment: 3.96 μB/f.u.
Fermi-level density of states: 0.2145 states/eV/atom
E above lowest polymorph: 0.000 eV/atom
Energy: -0.3836 Ha/atom